PBE Ac2LaTbSb4, optimized geometry; E_form (uncorrected) = -1.20 eV/atom
1.0
8.0673 0.0000 0.0000
0.0000 4.6641 0.0000
-2.6886 0.0000 7.6100
Ac La Tb Sb
2 1 1 4
Cartesian
0.0000 0.0000 0.0000
4.0337 2.3321 0.0000
-1.3443 2.3321 3.8050
2.6894 0.0000 3.8050
0.0457 0.0000 5.5978
1.3882 2.3321 2.0392
3.9906 2.3321 5.5708
5.3331 0.0000 2.0122

PBE Pr2GdTh, optimized geometry; energy above the lowest structure with this stoichiometry = 0.146 eV/atom
1.0
1.7676 1.0205 12.7702
-1.7676 1.0205 12.7702
0.0000 -2.0410 12.7702
Pr Gd Th
2 1 1
Cartesian
0.0000 0.0000 3.4180
0.0000 0.0000 34.8928
0.0000 0.0000 19.1554
0.0000 0.0000 0.0000

PBE Be2Al3, optimized geometry; E_tot = -3.50 eV per atom
1.0
4.0274 0.0000 0.0000
-2.0137 3.4879 0.0000
0.0000 0.0000 5.0819
Be Al
2 3
Cartesian
0.0000 2.3252 1.7123
2.0137 1.1626 3.3696
0.0000 0.0000 2.5410
0.0000 2.3252 4.3090
2.0137 1.1626 0.7729

PBE UTl2AgBr6, optimized geometry; E_form (uncorrected) = -0.92 eV/atom
1.0
7.6878 0.0000 0.0000
0.0000 8.1529 0.0000
-7.4214 0.0000 11.0481
U Tl Ag Br
2 4 2 12
Cartesian
0.0000 0.0000 0.0000
-3.7107 4.0765 5.5241
-3.4180 0.6609 8.3547
0.2927 3.4156 2.8306
-0.0264 4.7373 8.2175
3.6843 7.4921 2.6935
0.1332 0.0000 5.5241
3.8439 4.0765 0.0000
-0.7829 0.2101 2.7915
-4.4936 3.8664 8.3156
1.4631 5.7075 0.5844
-2.2476 6.5219 6.1084
2.3810 1.5779 0.5611
-1.3297 2.4986 6.0852
1.5960 5.6543 4.9630
-2.1147 6.5751 10.4870
2.5139 1.6310 4.9397
-1.1968 2.4455 10.4638
4.7600 4.2865 2.7325
1.0492 7.9429 8.2566

PBE La6Ho5Mg, optimized geometry; E_tot = -4.49 eV per atom
1.0
-2.6183 4.9020 7.8612
2.6183 -4.9020 7.8612
2.6183 4.9020 -7.8612
La Ho Mg
6 5 1
Cartesian
2.6183 2.4176 -2.6385
0.0000 2.4021 0.0000
2.6183 2.4176 2.6385
0.0000 2.4844 5.2228
0.0000 7.4020 0.0000
0.0000 2.4844 10.4997
0.0000 0.0000 2.7012
2.6183 0.0000 5.2770
0.0000 0.0000 7.8612
0.0000 4.9020 2.5842
0.0000 0.0000 13.0213
2.6183 0.0000 0.0000

PBE CdTcAu2, optimized geometry; E_tot = -4.09 eV per atom
1.0
2.8276 0.0000 0.0000
0.0000 5.0254 0.0000
0.0000 0.0000 5.0621
Cd Tc Au
1 1 2
Cartesian
0.0000 0.0000 0.0000
1.4138 0.0000 2.5310
0.0000 2.5127 2.5310
1.4138 2.5127 0.0000